[1]
An optimized crystal structure of CuPSe. Source: the Alexandria database, functional PBE.

Formation energy (no corrections), meV per atom: 174

Unit cell a=5.830 b=5.830 c=5.830 alpha=146.87 beta=146.87 gamma=47.56
Fractional positions:
1 P 0.556 0.556 0.000
2 Se 0.350 0.350 0.000
3 Cu 0.094 0.094 0.000

***

[2]
An optimized crystal structure of Tl3Bi2Te6As. Source: the Alexandria database, functional PBE.

Formation energy (no corrections), meV per atom: -244

Unit cell a=7.763 b=7.763 c=8.352 alpha=98.90 beta=98.90 gamma=119.89
Fractional positions:
1 Bi 0.334 0.666 0.000
2 Bi 0.666 0.334 0.000
3 Te 0.617 0.930 0.788
4 Te 0.761 0.761 0.218
5 Te 0.239 0.239 0.782
6 As 0.000 0.000 0.000
7 Te 0.070 0.383 0.212
8 Tl 0.500 0.500 0.500
9 Tl 0.175 0.825 0.500
10 Te 0.383 0.070 0.212
11 Te 0.930 0.617 0.788
12 Tl 0.825 0.175 0.500

***

[3]
An optimized crystal structure of TmLuMgCd. Source: the Alexandria database, functional PBE.

Calculated formation energy, eV/atom: -0.178

Unit cell a=5.239 b=5.239 c=5.239 alpha=60.00 beta=60.00 gamma=60.00
Fractional positions:
1 Mg 0.250 0.250 0.250
2 Cd 0.750 0.750 0.750
3 Tm 0.000 0.000 0.000
4 Lu 0.500 0.500 0.500

***

[4]
An optimized crystal structure of Pr4Tl3Ag. Source: the Alexandria database, functional PBE.

Calculated formation energy, eV/atom: -0.356

Unit cell a=3.755 b=3.755 c=16.765 alpha=90.00 beta=90.00 gamma=90.00
Last column: magnetic moment on the atom in μB.
Fractional positions:
1 Pr 0.000 0.000 0.115  0.07
2 Ag 0.500 0.500 0.000  0.01
3 Pr 0.000 0.000 0.629  0.00
4 Pr 0.000 0.000 0.885  0.07
5 Tl 0.500 0.500 0.759  0.00
6 Pr 0.000 0.000 0.371  0.00
7 Tl 0.500 0.500 0.241  0.00
8 Tl 0.500 0.500 0.500  0.00

***

Total magnetic moment? In order: 0.00, 0.00, 0.00, 0.30 μB/f.u..
DOS(E_F)? In order: 0.4621, 0.0073, 0.9470, 1.1311 states/eV/atom.